Sn2As2I PBE relaxed; total moment = 0.0 μB/f.u.; formation energy from raw total energies = -0.0124 eV/atom; DFT total energy = -37.83 eV per cell
1.0
4.611 -5.706 0.000
4.611 5.706 0.000
-3.397 0.000 6.150
Sn As I
4 4 2
direct
0.015 0.985 0.750
0.335 0.665 0.250
0.665 0.335 0.750
0.985 0.015 0.250
0.002 0.710 0.930
0.290 0.998 0.570
0.710 0.002 0.430
0.998 0.290 0.070
0.392 0.608 0.750
0.608 0.392 0.250